{"formula": "LiPm2Tl3", "functional": "PBE-GGA", "state": "relaxed", "lattice": [[-4.1797, 3.2743, 0.3703], [1.4762, -1.9047, -4.7456], [-8.0294, -10.4412, 1.6931]], "species": ["Li", "Li", "Tl", "Tl", "Tl", "Tl", "Tl", "Tl", "Pm", "Pm", "Pm", "Pm"], "fractional_positions": [[0.3333, 0.6667, 0.6591], [0.6667, 0.3333, 0.3409], [0.6667, 0.3333, 0.5791], [0.3333, 0.6667, 0.4209], [0.0000, 0.0000, 0.2570], [0.0000, 0.0000, 0.7430], [0.3333, 0.6667, 0.9105], [0.6667, 0.3333, 0.0895], [0.3333, 0.6667, 0.1797], [0.0000, 0.0000, 0.0000], [0.0000, 0.0000, 0.5000], [0.6667, 0.3333, 0.8203]], "e_tot_ev_per_atom": -3.428, "ef_ev_per_fu": -2.1, "relative_energy_ev_per_atom": 0.0000}



{"formula": "LiPm6Tl", "functional": "PBE-GGA", "state": "relaxed", "lattice": [[-3.7003, 3.1999, 1.6197], [-2.6138, -3.9997, 1.9303], [1.3389, 0.6336, 10.0043]], "species": ["Pm", "Pm", "Pm", "Pm", "Pm", "Pm", "Li", "Tl"], "fractional_positions": [[0.8860, 0.3861, 0.2279], [0.3861, 0.8861, 0.2279], [0.2481, 0.2481, 0.5038], [0.6139, 0.1139, 0.7721], [0.1140, 0.6139, 0.7721], [0.7519, 0.7519, 0.4962], [0.0000, 0.0000, 0.0000], [0.5000, 0.5000, 0.0000]], "e_tot_ev_per_atom": -4.184, "ef_ev_per_fu": -0.7}



{"formula": "LiPm2Tl4", "functional": "PBE-GGA", "state": "relaxed", "lattice": [[-4.7121, 2.0338, -0.9841], [-1.6242, -1.4671, 4.7454], [2.2466, 6.5579, 2.7964]], "species": ["Tl", "Tl", "Tl", "Tl", "Pm", "Pm", "Li"], "fractional_positions": [[0.5000, 0.0000, 0.7491], [0.0000, 0.5000, 0.7491], [0.5000, 0.0000, 0.2509], [0.0000, 0.5000, 0.2509], [0.5000, 0.5000, 0.5000], [0.0000, 0.0000, 0.0000], [0.5000, 0.5000, 0.0000]], "e_tot_ev_per_atom": -3.192, "ef_ev_per_fu": -1.5, "relative_energy_ev_per_atom": 0.0000}



{"formula": "LiPmTl2", "functional": "PBE-GGA", "state": "relaxed", "lattice": [[-3.0325, -2.3109, -0.9929], [3.0384, -4.1755, 0.4381], [-1.3092, -0.4285, 4.9961]], "species": ["Li", "Tl", "Tl", "Pm"], "fractional_positions": [[0.5000, 0.0000, 0.0000], [0.0000, 0.0000, 0.5000], [0.0000, 0.5000, 0.0000], [0.5000, 0.5000, 0.5000]], "e_tot_ev_per_atom": -3.164, "ef_ev_per_fu": -1.3}



{"formula": "Li2Pm2Tl", "functional": "PBE-GGA", "state": "relaxed", "lattice": [[6.6783, 0.0000, 0.0000], [-3.3391, 5.4398, -0.0998], [0.0000, -2.6598, 7.2786]], "species": ["Li", "Li", "Li", "Li", "Tl", "Tl", "Pm", "Pm", "Pm", "Pm"], "fractional_positions": [[0.0607, 0.8592, 0.0585], [0.9393, 0.1408, 0.9415], [0.2015, 0.1408, 0.4415], [0.7985, 0.8592, 0.5585], [0.2494, 0.0000, 0.7500], [0.7506, 0.0000, 0.2500], [0.7745, 0.3886, 0.6549], [0.3859, 0.6114, 0.8451], [0.2255, 0.6114, 0.3451], [0.6141, 0.3886, 0.1549]], "e_tot_ev_per_atom": -3.256, "ef_ev_per_fu": -0.6}



{"formula": "Li4Pm9Tl11", "functional": "PBE-GGA", "state": "relaxed", "lattice": [[-1.5952, 2.7342, -1.6190], [4.3596, -4.7443, -12.3082], [-12.4152, -5.2880, 3.3025]], "species": ["Tl", "Tl", "Tl", "Tl", "Tl", "Tl", "Tl", "Tl", "Tl", "Tl", "Tl", "Pm", "Pm", "Pm", "Pm", "Pm", "Pm", "Pm", "Pm", "Pm", "Li", "Li", "Li", "Li"], "fractional_positions": [[0.0000, 0.3613, 0.6387], [0.0000, 0.4217, 0.0795], [0.0000, 0.8446, 0.1554], [0.0000, 0.9205, 0.5783], [0.0000, 0.3017, 0.3017], [0.0000, 0.0000, 0.0000], [0.0000, 0.1554, 0.8446], [0.0000, 0.6983, 0.6983], [0.0000, 0.0795, 0.4217], [0.0000, 0.5783, 0.9205], [0.0000, 0.6387, 0.3613], [0.5000, 0.2172, 0.0655], [0.5000, 0.7828, 0.9345], [0.5000, 0.3656, 0.8603], [0.5000, 0.0655, 0.2172], [0.5000, 0.1397, 0.6344], [0.5000, 0.8603, 0.3656], [0.5000, 0.5000, 0.5000], [0.5000, 0.6344, 0.1397], [0.5000, 0.9345, 0.7828], [0.5000, 0.2561, 0.4563], [0.5000, 0.4563, 0.2561], [0.5000, 0.5437, 0.7439], [0.5000, 0.7439, 0.5437]], "e_tot_ev_per_atom": -3.488, "ef_ev_per_fu": -7.3}



{"formula": "Li4Pm3Tl4", "functional": "PBE-GGA", "state": "relaxed", "lattice": [[-1.9278, 4.3507, 0.6296], [-2.4849, -0.0941, -6.9589], [-4.2948, -5.3513, 5.5297]], "species": ["Tl", "Tl", "Tl", "Tl", "Pm", "Pm", "Pm", "Li", "Li", "Li", "Li"], "fractional_positions": [[0.5000, 0.2091, 0.0000], [0.2203, 0.7203, 0.4406], [0.7797, 0.2797, 0.5594], [0.5000, 0.7909, 0.0000], [0.0000, 0.5000, 0.0000], [0.8795, 0.8795, 0.7589], [0.1205, 0.1205, 0.2411], [0.3256, 0.1402, 0.6513], [0.6744, 0.8598, 0.3487], [0.6744, 0.4889, 0.3487], [0.3256, 0.5111, 0.6513]], "e_tot_ev_per_atom": -3.126, "ef_ev_per_fu": -3.0, "relative_energy_ev_per_atom": 0.0126}



{"formula": "Li5PmTl4", "functional": "PBE-GGA", "state": "relaxed", "lattice": [[-2.5747, -3.8810, -1.3006], [2.8052, -3.5122, 4.9272], [-4.5538, 4.8017, 3.6761]], "species": ["Li", "Li", "Li", "Li", "Li", "Tl", "Tl", "Tl", "Tl", "Pm"], "fractional_positions": [[0.2757, 0.1606, 0.5515], [0.5000, 0.5000, 0.0000], [0.7243, 0.8394, 0.4485], [0.1019, 0.3680, 0.2037], [0.8981, 0.6320, 0.7963], [0.8996, 0.1917, 0.7991], [0.7009, 0.3431, 0.4019], [0.2991, 0.6569, 0.5981], [0.1004, 0.8083, 0.2009], [0.5000, 0.0000, 0.0000]], "e_tot_ev_per_atom": -2.613, "ef_ev_per_fu": -2.3}



{"formula": "LiPm5Tl3", "functional": "PBE-GGA", "state": "relaxed", "lattice": [[-4.3022, 1.5880, -4.9789], [-7.3621, -1.9877, 5.7274], [3.5785, 8.8349, -0.2743]], "species": ["Pm", "Pm", "Pm", "Pm", "Pm", "Pm", "Pm", "Pm", "Pm", "Pm", "Tl", "Tl", "Tl", "Tl", "Tl", "Tl", "Li", "Li"], "fractional_positions": [[0.0000, 0.3334, 0.6668], [0.2500, 0.3118, 0.3118], [0.0000, 0.6666, 0.3332], [0.7500, 0.6882, 0.6882], [0.5000, 0.3334, 0.6668], [0.7500, 0.3117, 0.0000], [0.5000, 0.6666, 0.3332], [0.2500, 0.6883, 0.0000], [0.7500, 0.0000, 0.3118], [0.2500, 0.0000, 0.6882], [0.7500, 0.0000, 0.6533], [0.2500, 0.0000, 0.3467], [0.7500, 0.3467, 0.3467], [0.7500, 0.6533, 0.0000], [0.2500, 0.3467, 0.0000], [0.2500, 0.6533, 0.6533], [0.5000, 0.0000, 0.0000], [0.0000, 0.0000, 0.0000]], "e_tot_ev_per_atom": -3.913, "ef_ev_per_fu": -2.5}



{"formula": "LiPm4Tl7", "functional": "PBE-GGA", "state": "relaxed", "lattice": [[-4.9056, -0.2441, -2.2585], [-1.3623, -9.5639, -2.4774], [-5.2710, -2.0150, 5.1967]], "species": ["Tl", "Tl", "Tl", "Tl", "Tl", "Tl", "Tl", "Pm", "Pm", "Pm", "Pm", "Li"], "fractional_positions": [[0.3699, 0.5420, 0.7182], [0.0832, 0.6860, 0.1477], [0.2226, 0.0995, 0.4553], [0.5000, 0.0000, 0.0000], [0.9168, 0.3140, 0.8523], [0.7774, 0.9005, 0.5447], [0.6301, 0.4580, 0.2818], [0.4199, 0.7805, 0.3797], [0.7218, 0.6693, 0.8870], [0.2782, 0.3307, 0.1130], [0.5801, 0.2195, 0.6203], [0.0000, 0.0000, 0.0000]], "e_tot_ev_per_atom": -3.295, "ef_ev_per_fu": -2.1}



{"formula": "Li4PmTl2", "functional": "PBE-GGA", "state": "relaxed", "lattice": [[4.7928, 0.0000, 0.0000], [0.0000, 7.9892, 0.0000], [0.0000, 0.0000, 7.9892]], "species": ["Li", "Li", "Li", "Li", "Li", "Li", "Li", "Li", "Tl", "Tl", "Tl", "Tl", "Pm", "Pm"], "fractional_positions": [[0.5000, 0.1435, 0.6037], [0.0000, 0.8963, 0.6435], [0.0000, 0.6435, 0.8963], [0.5000, 0.3963, 0.8565], [0.5000, 0.6037, 0.1435], [0.5000, 0.8565, 0.3963], [0.0000, 0.3565, 0.1037], [0.0000, 0.1037, 0.3565], [0.5000, 0.2899, 0.2899], [0.0000, 0.7899, 0.2101], [0.5000, 0.7101, 0.7101], [0.0000, 0.2101, 0.7899], [0.0000, 0.5000, 0.5000], [0.5000, 0.0000, 0.0000]], "e_tot_ev_per_atom": -2.682, "ef_ev_per_fu": -1.6}



{"formula": "Li2PmTl2", "functional": "PBE-GGA", "state": "relaxed", "lattice": [[-1.1234, 4.0767, 2.2062], [-3.3664, -3.2747, -0.8332], [3.8343, -1.8783, 5.3730]], "species": ["Tl", "Tl", "Pm", "Li", "Li"], "fractional_positions": [[0.9221, 0.8416, 0.2636], [0.0779, 0.1584, 0.7364], [0.5000, 0.0000, 0.0000], [0.3078, 0.6142, 0.4221], [0.6922, 0.3858, 0.5779]], "e_tot_ev_per_atom": -2.893, "ef_ev_per_fu": -1.2, "relative_energy_ev_per_atom": 0.0272}



no.,density of states at the Fermi level (states/eV/cell)
1,5.72
2,8.44
3,3.93
4,2.27
5,9.54
6,19.88
7,13.07
8,4.68
9,17.60
10,5.25
11,4.81
12,2.81